{
  "formula": "FeCo2Ir",
  "functional": "PBE-GGA",
  "state": "relaxed",
  "lattice": [[-1.813, 1.813, 3.633], [1.813, -1.813, 3.633], [1.813, 1.813, -3.633]],
  "species": ["Fe", "Co", "Co", "Ir"],
  "fractional_positions": [[0.000, 0.000, 0.000], [0.500, 0.500, 0.000], [0.750, 0.250, 0.500], [0.250, 0.750, 0.500]],
  "dft_energy_ev_per_atom": -7.86,
  "n_ef_per_ev_fu": 7.09,
  "e_above_lowest_polymorph_mev_per_atom": 8,
  "space_group": "I-4m2"
}


{
  "formula": "Fe3CoIr2",
  "functional": "PBE-GGA",
  "state": "relaxed",
  "lattice": [[2.214, -7.390, 0.000], [2.214, 7.390, 0.000], [0.000, 0.000, 2.610]],
  "species": ["Fe", "Fe", "Fe", "Co", "Ir", "Ir"],
  "fractional_positions": [[0.000, 0.000, 0.000], [0.371, 0.629, 0.000], [0.629, 0.371, 0.000], [0.500, 0.500, 0.500], [0.199, 0.801, 0.000], [0.801, 0.199, 0.000]],
  "dft_energy_ev_per_atom": -7.82,
  "n_ef_per_ev_fu": 7.08,
  "space_group": "Cmmm"
}


{
  "formula": "FeCoIr4",
  "functional": "PBE-GGA",
  "state": "relaxed",
  "lattice": [[1.889, -5.602, 0.000], [1.889, 5.602, 0.000], [0.000, 0.000, 7.637]],
  "species": ["Fe", "Fe", "Co", "Co", "Ir", "Ir", "Ir", "Ir", "Ir", "Ir", "Ir", "Ir"],
  "fractional_positions": [[0.167, 0.833, 0.500], [0.833, 0.167, 0.000], [0.334, 0.666, 0.747], [0.666, 0.334, 0.247], [0.003, 0.997, 0.251], [0.172, 0.828, 0.001], [0.329, 0.671, 0.253], [0.496, 0.504, 0.000], [0.504, 0.496, 0.500], [0.671, 0.329, 0.753], [0.828, 0.172, 0.501], [0.997, 0.003, 0.751]],
  "dft_energy_ev_per_atom": -8.51,
  "n_ef_per_ev_fu": 7.02,
  "e_above_lowest_polymorph_mev_per_atom": 0,
  "space_group": "Cmc2_1"
}


{
  "formula": "FeCoIr4",
  "functional": "PBE-GGA",
  "state": "relaxed",
  "lattice": [[1.358, -6.883, 0.000], [1.358, 6.883, 0.000], [0.000, 0.000, 8.717]],
  "species": ["Fe", "Fe", "Co", "Co", "Ir", "Ir", "Ir", "Ir", "Ir", "Ir", "Ir", "Ir"],
  "fractional_positions": [[0.169, 0.831, 0.500], [0.831, 0.169, 0.000], [0.279, 0.721, 0.248], [0.721, 0.279, 0.748], [0.058, 0.942, 0.746], [0.172, 0.828, 0.996], [0.382, 0.618, 0.749], [0.496, 0.504, 0.997], [0.504, 0.496, 0.497], [0.618, 0.382, 0.249], [0.828, 0.172, 0.496], [0.942, 0.058, 0.246]],
  "dft_energy_ev_per_atom": -8.50,
  "n_ef_per_ev_fu": 7.24,
  "e_above_lowest_polymorph_mev_per_atom": 8,
  "space_group": "Cmc2_1"
}